Record 1
# PuPaCoNi

Crystalline PuPaCoNi at its relaxed geometry (PBE, Alexandria via LeMat-Bulk).

Results
Size of the total moment: 1.037 μB per atom
Uncorrected energy: -37.936 eV per formula unit
DFT formation energy: -0.305 eV per atom

abc: 6.3517 6.3517 6.3517
angles: 90.00 90.00 90.00
With the nearest neighbours (Å) after each atom.
Space group F-43m (No. 216)
Asymmetric unit:
Pu 0.0000 0.0000 0.0000 x4  4 Pa 2.75, 4 Ni 2.75
Pa 0.2500 0.2500 0.2500 x4  4 Co 2.75, 4 Pu 2.75
Co 0.0000 0.0000 0.5000 x4  4 Pa 2.75, 4 Ni 2.75
Ni 0.2500 0.2500 0.7500 x4  4 Co 2.75, 4 Pu 2.75

---

Record 2
# PaCoNiRh

Crystalline PaCoNiRh at its relaxed geometry (PBE, Alexandria via LeMat-Bulk).

Results
Size of the total moment: 0.110 μB per atom
Uncorrected energy: -32.090 eV per formula unit
DFT formation energy: -0.589 eV per atom

abc: 3.8424 3.8865 4.0275
angles: 90.00 90.00 90.00
With the nearest neighbours (Å) after each atom.
Space group Pmmm (No. 47)
Asymmetric unit:
Pa 0.0000 0.0000 0.0000 x1  4 Co 2.73, 4 Rh 2.78, 4 Ni 2.80
Co 0.5000 0.5000 0.0000 x1  4 Pa 2.73, 4 Ni 2.78, 4 Rh 2.80
Ni 0.0000 0.5000 0.5000 x1  4 Rh 2.73, 4 Co 2.78, 4 Pa 2.80
Rh 0.5000 0.0000 0.5000 x1  4 Ni 2.73, 4 Pa 2.78, 4 Co 2.80

---

Record 3
# PaCoNiRu

Crystalline PaCoNiRu at its relaxed geometry (PBE, Alexandria via LeMat-Bulk).

Results
Size of the total moment: 0.274 μB per atom
Uncorrected energy: -33.334 eV per formula unit
DFT formation energy: -0.419 eV per atom

abc: 3.8472 3.9519 3.9530
angles: 90.00 90.00 90.00
With the nearest neighbours (Å) after each atom.
Space group Pmmm (No. 47)
Asymmetric unit:
Pa 0.0000 0.0000 0.0000 x1  4 Ru 2.76, 4 Co 2.76, 4 Ni 2.79
Co 0.5000 0.0000 0.5000 x1  4 Ni 2.76, 4 Pa 2.76, 4 Ru 2.79
Ni 0.0000 0.5000 0.5000 x1  4 Co 2.76, 4 Ru 2.76, 4 Pa 2.79
Ru 0.5000 0.5000 0.0000 x1  4 Pa 2.76, 4 Ni 2.76, 4 Co 2.79

---

Record 4
# Pa2CoNiS5

Crystalline Pa2CoNiS5 at its relaxed geometry (PBE, Alexandria via LeMat-Bulk).

Results
Size of the total moment: 0.007 μB per atom
Uncorrected energy: -62.827 eV per formula unit
Uncorrected formation energy: -1.15 eV per atom

abc: 3.7271 15.6460 10.9610
angles: 90.00 90.00 90.00
With the nearest neighbours (Å) after each atom.
Space group Cmc2_1 (No. 36)
Asymmetric unit:
Pa 0.0000 0.1116 0.0000 x4  8 S 2.75-2.96, 1 Ni 2.88
Pa 0.0000 0.1285 0.3570 x4  8 S 2.73-2.93
Co 0.0000 0.4275 0.0999 x4  4 S 2.20-2.27
Ni 0.0000 0.1422 0.7412 x4  3 S 2.16-2.22
S 0.0000 0.0113 0.6787 x4  1 Ni 2.16, 2 Co 2.27
S 0.0000 0.3008 0.0079 x4  1 Co 2.22
S 0.0000 0.3131 0.3310 x4  2 Ni 2.22
S 0.0000 0.3374 0.6734 x4  4 Pa 2.78-2.79
S 0.0000 0.4927 0.9220 x4  1 Co 2.20

---

Record 5
# ScPaCoNi

Crystalline ScPaCoNi at its relaxed geometry (PBE, Alexandria via LeMat-Bulk).

Results
Size of the total moment: 0.000 μB per atom
Uncorrected energy: -29.768 eV per formula unit
DFT formation energy: -0.263 eV per atom

abc: 6.5195 6.5195 6.5195
angles: 90.00 90.00 90.00
With the nearest neighbours (Å) after each atom.
Space group F-43m (No. 216)
Asymmetric unit:
Sc 0.0000 0.0000 0.0000 x4  4 Co 2.82, 4 Ni 2.82
Pa 0.0000 0.0000 0.5000 x4  4 Co 2.82, 4 Ni 2.82
Co 0.2500 0.2500 0.2500 x4  4 Pa 2.82, 4 Sc 2.82
Ni 0.2500 0.2500 0.7500 x4  4 Pa 2.82, 4 Sc 2.82

---

Record 6
# ScPaCoNi

Crystalline ScPaCoNi at its relaxed geometry (PBE, Alexandria via LeMat-Bulk).

Results
Size of the total moment: 0.000 μB per atom
Uncorrected energy: -30.567 eV per formula unit
DFT formation energy: -0.463 eV per atom

abc: 3.9188 3.4643 10.3692
angles: 90.00 90.00 90.00
With the nearest neighbours (Å) after each atom.
Space group Amm2 (No. 38)
Asymmetric unit:
Sc 0.0000 0.0000 0.0000 x2  4 Ni 2.69, 1 Co 2.71
Pa 0.5000 0.0000 0.7267 x2  4 Co 2.64, 2 Ni 2.80
Co 0.0000 0.0000 0.2617 x2  4 Pa 2.64, 2 Ni 2.69, 1 Sc 2.71
Ni 0.5000 0.0000 0.4388 x2  2 Co 2.69, 4 Sc 2.69, 3 Pa 2.80-2.99

---

Record 7
# Pa2Co3Si4Ni

Crystalline Pa2Co3Si4Ni at its relaxed geometry (PBE, Alexandria via LeMat-Bulk).

Results
Size of the total moment: 0.079 μB per atom
Uncorrected energy: -75.692 eV per formula unit
Uncorrected formation energy: -0.79 eV per atom

abc: 3.9402 3.9402 9.4822
angles: 90.00 90.00 90.00
With the nearest neighbours (Å) after each atom.
Space group P-4m2 (No. 115)
Asymmetric unit:
Pa 0.0000 0.5000 0.2490 x2  8 Si 3.01-3.07, 6 Co 3.01-3.09, 2 Ni 3.09
Co 0.0000 0.5000 0.8717 x2  5 Si 2.28-2.32
Co 0.5000 0.5000 0.5000 x1  4 Si 2.33
Si 0.0000 0.0000 0.0000 x1  4 Co 2.32
Si 0.0000 0.5000 0.6311 x2  3 Co 2.28-2.33, 2 Ni 2.33
Si 0.5000 0.5000 0.0000 x1  4 Co 2.32
Ni 0.0000 0.0000 0.5000 x1  4 Si 2.33

---

Record 8
# Pa2Co4Si3Ni

Crystalline Pa2Co4Si3Ni at its relaxed geometry (PBE, Alexandria via LeMat-Bulk).

Results
Size of the total moment: 0.000 μB per atom
Uncorrected energy: -76.059 eV per formula unit
Uncorrected formation energy: -0.66 eV per atom

abc: 3.8106 3.8106 9.9812
angles: 90.00 90.00 90.00
With the nearest neighbours (Å) after each atom.
Space group P-4m2 (No. 115)
Asymmetric unit:
Pa 0.0000 0.5000 0.2455 x2  8 Co 2.88-3.18, 6 Si 2.99-3.10, 2 Ni 3.10
Co 0.0000 0.0000 0.5000 x1  4 Si 2.27
Co 0.0000 0.5000 0.8551 x2  3 Si 2.30-2.39, 2 Ni 2.39
Co 0.5000 0.5000 0.5000 x1  4 Si 2.27
Si 0.0000 0.0000 0.0000 x1  4 Co 2.39
Si 0.0000 0.5000 0.6245 x2  5 Co 2.27-2.30
Ni 0.5000 0.5000 0.0000 x1  4 Co 2.39